(1)
This record from Alexandria describes an optimized crystal structure of AgTeOs. The functional is PBE. Values from VASP.

Structure (Quantum ESPRESSO input):
```
&SYSTEM
  ibrav = 0, nat = 6, ntyp = 3
/
ATOMIC_SPECIES
Ag 107.87 Ag.upf
Te 127.60 Te.upf
Os 190.23 Os.upf
ATOMIC_POSITIONS angstrom
Ag 0.0000 0.0000 0.0000
Ag 7.8205 0.0000 2.3507
Te 3.4640 0.0000 3.2200
Te 8.1036 0.0000 5.2520
Os 4.7687 0.0000 0.4544
Os 12.5939 0.0000 2.4645
CELL_PARAMETERS angstrom
7.1642 -1.5620 0.0000
7.1642 1.5620 0.0000
-1.7333 0.0000 5.4330
```

Computed properties:
formation energy (no corrections)	0.520	eV per atom
energy above the most stable polymorph in this dataset	28	kJ/mol of formula units
energy	-31.3	eV per cell
theoretical density	11.63	g/cm³


(2)
This record from Alexandria describes an optimized crystal structure of La6Sn2AsI3. The functional is PBE. Values from VASP.

Structure (Quantum ESPRESSO input):
```
&SYSTEM
  ibrav = 0, nat = 12, ntyp = 4
/
ATOMIC_SPECIES
La 138.91 La.upf
Sn 118.71 Sn.upf
As 74.92 As.upf
I 126.90 I.upf
ATOMIC_POSITIONS angstrom
La 1.2696 2.2018 1.6432
La -0.1125 0.0000 5.9666
La 1.2696 -2.2018 1.6432
La 4.0347 2.2018 5.9859
La 5.4168 0.0000 1.6626
La 4.0347 -2.2018 5.9859
Sn 3.9761 2.2810 0.0000
Sn 3.9761 -2.2810 0.0000
As 0.0000 0.0000 0.0000
I 2.6521 4.5163 3.8146
I 2.6521 0.0000 3.8146
I 2.6521 -4.5163 3.8146
CELL_PARAMETERS angstrom
3.9761 -6.8778 0.0000
3.9761 6.8778 0.0000
-2.6478 0.0000 7.6292
```

Computed properties:
formation energy (no corrections)	-1.114	eV per atom
energy	-60.2	eV per cell
theoretical density	6.07	g/cm³


(3)
This record from Alexandria describes an optimized crystal structure of RbAcBe2O4. The functional is PBE. Values from VASP.

Structure (Quantum ESPRESSO input):
```
&SYSTEM
  ibrav = 0, nat = 8, ntyp = 4
/
ATOMIC_SPECIES
Rb 85.47 Rb.upf
Ac 227.00 Ac.upf
Be 9.01 Be.upf
O 16.00 O.upf
ATOMIC_POSITIONS angstrom
Rb 0.0000 0.0000 0.0000
Ac 0.0000 0.0000 3.5710
Be 2.9269 0.0000 2.0433
Be 0.0000 3.1162 1.5277
O 4.0713 -0.8846 2.0819
O 1.7825 0.8846 2.0819
O -1.1444 2.2316 1.4891
O 1.1444 4.0008 1.4891
CELL_PARAMETERS angstrom
-2.9269 3.1162 3.5710
2.9269 -3.1162 3.5710
2.9269 3.1162 -3.5710
```

Computed properties:
formation energy (no corrections)	-2.310	eV per atom
energy	-50.8	eV per cell
theoretical density	5.03	g/cm³


(4)
This record from Alexandria describes an optimized crystal structure of PbSe2IN. The functional is PBE. Values from VASP.

Structure (Quantum ESPRESSO input):
```
&SYSTEM
  ibrav = 0, nat = 5, ntyp = 4
/
ATOMIC_SPECIES
Pb 207.20 Pb.upf
Se 78.96 Se.upf
I 126.90 I.upf
N 14.01 N.upf
ATOMIC_POSITIONS angstrom
Pb 0.0000 0.0000 0.0000
Se 0.0000 2.7946 2.0064
Se 2.7946 0.0000 2.0064
I 2.7946 2.7946 2.0064
N 2.7946 2.7946 0.0000
CELL_PARAMETERS angstrom
5.5893 0.0000 0.0000
0.0000 5.5893 0.0000
0.0000 0.0000 4.0128
```

Computed properties:
formation energy (no corrections)	0.839	eV per atom
energy above the most stable polymorph in this dataset	0	kJ/mol of formula units
energy	-16.4	eV per cell
theoretical density	6.70	g/cm³


(5)
This record from Alexandria describes an optimized crystal structure of BTeP2Cl. The functional is PBE. Values from VASP.

Structure (Quantum ESPRESSO input):
```
&SYSTEM
  ibrav = 0, nat = 5, ntyp = 4
/
ATOMIC_SPECIES
B 10.81 B.upf
Te 127.60 Te.upf
P 30.97 P.upf
Cl 35.45 Cl.upf
ATOMIC_POSITIONS angstrom
B 0.0000 0.0000 0.0000
Te 2.5353 2.5353 2.6792
P 0.0000 2.5353 2.6792
P 2.5353 0.0000 2.6792
Cl 2.5353 2.5353 0.0000
CELL_PARAMETERS angstrom
5.0705 0.0000 0.0000
0.0000 5.0705 0.0000
0.0000 0.0000 5.3585
```

Computed properties:
formation energy (no corrections)	1.748	eV per atom
energy above the most stable polymorph in this dataset	498	kJ/mol of formula units
energy	-13.7	eV per cell
theoretical density	2.84	g/cm³


(6)
This record from Alexandria describes an optimized crystal structure of HgPICl2. The functional is PBE. Values from VASP.

Structure (Quantum ESPRESSO input):
```
&SYSTEM
  ibrav = 0, nat = 5, ntyp = 4
/
ATOMIC_SPECIES
Hg 200.59 Hg.upf
P 30.97 P.upf
I 126.90 I.upf
Cl 35.45 Cl.upf
ATOMIC_POSITIONS angstrom
Hg 0.0000 0.0000 0.0000
P 2.7773 2.7773 0.0000
I 2.7773 2.7773 2.7649
Cl 0.0000 2.7773 2.7649
Cl 2.7773 0.0000 2.7649
CELL_PARAMETERS angstrom
5.5547 0.0000 0.0000
0.0000 5.5547 0.0000
0.0000 0.0000 5.5297
```

Computed properties:
formation energy (no corrections)	0.496	eV per atom
energy above the most stable polymorph in this dataset	36	kJ/mol of formula units
energy	-8.5	eV per cell
theoretical density	4.18	g/cm³


(7)
This record from Alexandria describes an optimized crystal structure of TaAlOs2. The functional is PBE. Values from VASP.

Structure (Quantum ESPRESSO input):
```
&SYSTEM
  ibrav = 0, nat = 4, ntyp = 3
/
ATOMIC_SPECIES
Ta 180.95 Ta.upf
Al 26.98 Al.upf
Os 190.23 Os.upf
ATOMIC_POSITIONS angstrom
Ta 0.0000 0.0000 0.0000
Al 1.1626 0.0000 2.5446
Os 0.4179 2.1518 3.7297
Os 1.9072 2.1518 1.3594
CELL_PARAMETERS angstrom
2.7871 0.0000 0.0000
0.0000 4.3035 0.0000
-0.4620 0.0000 5.0891
```

Computed properties:
energy above the most stable polymorph in this dataset	161	kJ/mol of formula units
energy	-38.6	eV per cell
theoretical density	16.01	g/cm³


(8)
This record from Alexandria describes an optimized crystal structure of TbMn4W. The functional is PBE. Values from VASP.

Structure (Quantum ESPRESSO input):
```
&SYSTEM
  ibrav = 0, nat = 6, ntyp = 3
/
ATOMIC_SPECIES
Tb 158.93 Tb.upf
Mn 54.94 Mn.upf
W 183.84 W.upf
ATOMIC_POSITIONS angstrom
Tb 0.0000 0.0000 0.0000
Mn 2.6232 2.6232 2.6232
Mn 4.3633 4.3633 2.6232
Mn 4.3633 2.6232 4.3633
Mn 2.6232 4.3633 4.3633
W 5.2399 5.2399 5.2399
CELL_PARAMETERS angstrom
0.0000 3.4933 3.4933
3.4933 0.0000 3.4933
3.4933 3.4933 0.0000
```

Computed properties:
energy	-53.1	eV per cell
theoretical density	10.96	g/cm³


(9)
This record from Alexandria describes an optimized crystal structure of CaIr2Se. The functional is PBE. Values from VASP.

Structure (Quantum ESPRESSO input):
```
&SYSTEM
  ibrav = 0, nat = 4, ntyp = 3
/
ATOMIC_SPECIES
Ca 40.08 Ca.upf
Ir 192.22 Ir.upf
Se 78.96 Se.upf
ATOMIC_POSITIONS angstrom
Ca 0.0000 0.0000 0.0000
Ir 0.0000 0.0000 2.8048
Ir 1.8003 1.8003 2.1332
Se 1.8003 1.8003 4.7057
CELL_PARAMETERS angstrom
3.6006 0.0000 0.0000
0.0000 3.6006 0.0000
0.0000 0.0000 5.9983
```

Computed properties:
formation energy (no corrections)	-0.047	eV per atom
energy above the most stable polymorph in this dataset	75	kJ/mol of formula units
energy	-23.4	eV per cell
theoretical density	10.75	g/cm³


(10)
This record from Alexandria describes an optimized crystal structure of Pr4SnPd3. The functional is PBE. Values from VASP.

Structure (Quantum ESPRESSO input):
```
&SYSTEM
  ibrav = 0, nat = 8, ntyp = 3
/
ATOMIC_SPECIES
Pr 140.91 Pr.upf
Sn 118.71 Sn.upf
Pd 106.42 Pd.upf
ATOMIC_POSITIONS angstrom
Pr 0.0000 0.0000 0.0000
Pr 0.0000 2.3115 2.9447
Pr 2.0567 0.0000 5.3568
Pr 2.0567 2.3115 8.6833
Sn 0.0000 0.0000 7.9070
Pd 0.0000 2.3115 6.0534
Pd 2.0567 0.0000 2.3585
Pd 2.0567 2.3115 0.5553
CELL_PARAMETERS angstrom
4.1133 0.0000 0.0000
0.0000 4.6230 0.0000
0.0000 0.0000 11.2222
```

Computed properties:
energy	-44.7	eV per cell
theoretical density	7.79	g/cm³


(11)
This record from Alexandria describes an optimized crystal structure of ThInHg2. The functional is PBE. Values from VASP.

Structure (Quantum ESPRESSO input):
```
&SYSTEM
  ibrav = 0, nat = 4, ntyp = 3
/
ATOMIC_SPECIES
Th 232.04 Th.upf
In 114.82 In.upf
Hg 200.59 Hg.upf
ATOMIC_POSITIONS angstrom
Th 0.0000 0.0000 0.0000
In 0.0000 0.0000 3.3671
Hg 0.0000 0.0000 9.7579
Hg 0.0000 0.0000 13.1600
CELL_PARAMETERS angstrom
2.3907 1.3803 5.6633
-2.3907 1.3803 5.6633
0.0000 -2.7605 5.6633
```

Computed properties:
energy	-11.2	eV per cell
theoretical density	11.08	g/cm³


(12)
This record from Alexandria describes an optimized crystal structure of NaTiGe3. The functional is PBE. Values from VASP.

Structure (Quantum ESPRESSO input):
```
&SYSTEM
  ibrav = 0, nat = 5, ntyp = 3
/
ATOMIC_SPECIES
Na 22.99 Na.upf
Ti 47.87 Ti.upf
Ge 72.64 Ge.upf
ATOMIC_POSITIONS angstrom
Na 0.0000 0.0000 0.0000
Ti 2.4724 2.4724 2.4724
Ge 0.0000 2.4724 2.4724
Ge 2.4724 0.0000 2.4724
Ge 2.4724 2.4724 0.0000
CELL_PARAMETERS angstrom
4.9449 0.0000 0.0000
0.0000 4.9449 0.0000
0.0000 0.0000 4.9449
```

Computed properties:
energy above the most stable polymorph in this dataset	0	kJ/mol of formula units
energy	-23.0	eV per cell
theoretical density	3.97	g/cm³